# CaTl2Cd

A relaxed structure of CaTl2Cd (PBE, Alexandria).

The formation enthalpy at 0 K is -0.08 eV/atom. The relative energy among the computed polymorphs comes out at 158 meV/atom. For the density of states at the Fermi level, the calculation gives 0.69 states/eV per atom. The raw total energy comes out at -2.00 eV per atom.

The structure belongs to space group R-3m (No. 166, hexagonal axes); the cell edges are 3.6769, 3.6769 and 30.0493 Å and the angles 90.00°, 90.00° and 120.00°. The asymmetric unit holds Ca at (0.0000, 0.0000, 0.0000), Tl at (0.0000, 0.0000, 0.2458) and Cd at (0.0000, 0.0000, 0.5000).